Entry from the Alexandria database: a relaxed structure of Sc2MnSnH (GGA-PBE).

Cell lengths 4.448, 4.448, 4.056 Å; angles 90.00, 90.00, 90.00 degrees
Site moments in Bohr magnetons follow the coordinates.
Fractional positions:
Sc: 0.000 0.500 0.000  -0.30
Sc: 0.500 0.000 0.000  -0.30
H: 0.000 0.000 0.000  0.00
Mn: 0.000 0.000 0.500  3.06
Sn: 0.500 0.500 0.500  0.00

## Properties
Its space group is P4/mmm, No. 123. The value obtained for the calculated total energy is -0.229 hartree per atom.

Entry from the Alexandria database: a relaxed structure of CeNdIn5 (GGA-PBE).

Cell lengths 5.256, 5.256, 7.476 Å; angles 90.00, 90.00, 90.00 degrees
Site moments in Bohr magnetons follow the coordinates.
Fractional positions:
Ce: 0.500 0.500 0.000  0.72
Nd: 0.000 0.000 0.500  -0.02
In: 0.000 0.500 0.761  0.00
In: 0.000 0.500 0.239  0.00
In: 0.500 0.000 0.761  0.00
In: 0.500 0.000 0.239  0.00
In: 0.500 0.500 0.500  -0.01

## Properties
Its formation energy is -103 kJ/mol of formula units. Its space group is P4/mmm, No. 123. The value obtained for the calculated total energy is -0.134 hartree per atom.

Entry from the Alexandria database: a relaxed structure of Mg2CoW (GGA-PBE).

Cell lengths 5.223, 5.223, 2.650 Å; angles 90.00, 90.00, 117.40 degrees
Site moments in Bohr magnetons follow the coordinates.
Fractional positions:
Co: 0.000 0.500 0.500  1.56
Mg: 0.000 0.000 0.000  0.00
Mg: 0.500 0.500 0.000  0.00
W: 0.500 0.000 0.500  0.19

## Properties
Its energy above the most stable polymorph in this dataset is 1.17 eV/f.u. Its formation energy is 172 kJ/mol of formula units. Its space group is Cmmm, No. 65. The value obtained for the calculated total energy is -0.197 hartree per atom.

Entry from the Alexandria database: a relaxed structure of LiLa12Sn4N3 (GGA-PBE).

Cell lengths 9.002, 9.002, 9.002 Å; angles 109.47, 109.47, 109.47 degrees
Site moments in Bohr magnetons follow the coordinates.
Fractional positions:
Li: 0.000 0.000 0.000  0.36
La: 0.250 0.500 0.750  -0.01
La: 0.730 0.000 0.730  0.18
La: 0.270 0.000 0.270  0.18
La: 0.750 0.500 0.250  -0.01
La: 0.730 0.730 0.000  0.18
La: 0.270 0.270 0.000  0.18
La: 0.750 0.250 0.500  -0.01
La: 0.250 0.750 0.500  -0.01
La: 0.500 0.250 0.750  -0.01
La: 0.000 0.730 0.730  0.18
La: 0.500 0.750 0.250  -0.01
La: 0.000 0.270 0.270  0.18
Sn: 0.500 0.500 0.500  -0.01
Sn: 0.000 0.000 0.500  -0.01
Sn: 0.500 0.000 0.000  -0.01
Sn: 0.000 0.500 0.000  -0.01
N: 0.500 0.000 0.500  0.04
N: 0.500 0.500 0.000  0.04
N: 0.000 0.500 0.500  0.04

## Properties
For the uncorrected formation energy, the calculation gives -14.23 eV per formula unit. Its space group is Im-3m, No. 229. The value obtained for the calculated total energy is -0.214 hartree per atom.

Entry from the Alexandria database: a relaxed structure of GaCu2Ge (GGA-PBE).

Cell lengths 4.383, 4.383, 4.383 Å; angles 60.00, 60.00, 60.00 degrees
Fractional positions:
Ge: 0.500 0.500 0.500
Cu: 0.250 0.250 0.250
Cu: 0.750 0.750 0.750
Ga: 0.000 0.000 0.000

## Properties
Its energy above the most stable polymorph in this dataset is 0.25 eV/f.u. Its formation energy is 51 kJ/mol of formula units. Its space group is Fm-3m, No. 225. The value obtained for the calculated total energy is -0.141 hartree per atom.

Entry from the Alexandria database: a relaxed structure of RbTcP2C (GGA-PBE).

Cell lengths 4.961, 4.149, 4.961 Å; angles 90.00, 90.00, 90.00 degrees
Fractional positions:
P: 0.000 0.000 0.500
P: 0.500 0.000 0.000
C: 0.000 0.500 0.000
Tc: 0.500 0.500 0.500
Rb: 0.000 0.000 0.000

## Properties
Its formation energy is 1671 kJ/mol of formula units. Its space group is P4/mmm, No. 123. The value obtained for the calculated total energy is -0.103 hartree per atom.